Record 1
DFT (GGA-PBE) results for a relaxed K8As2Se crystal.

Properties
Volume = 35.63 Å³/atom
Space group = Immm
Formation energy without anion corrections = -0.51 eV/atom
Total magnetic moment = 0.00 μB/f.u.

Cell lengths 5.675, 7.994, 9.934 Å; angles 113.72, 106.60, 90.00 degrees
Element x y z (fractional)
K 0.649 0.885 0.297
K 0.351 0.588 0.703
K 0.189 0.189 0.378
K 0.000 0.274 0.000
K 0.811 0.811 0.622
K 0.649 0.412 0.297
K 0.351 0.115 0.703
K 0.000 0.726 0.000
As 0.178 0.678 0.357
As 0.822 0.322 0.643
Se 0.500 0.000 0.000



Record 2
DFT (GGA-PBE) results for a relaxed KAsSe2 crystal.

Properties
Volume = 26.96 Å³/atom
Space group = R3m
Formation energy without anion corrections = -0.54 eV/atom
Total magnetic moment = 0.00 μB/f.u.

Cell lengths 4.014, 4.014, 8.070 Å; angles 75.60, 75.60, 60.00 degrees
Element x y z (fractional)
K 0.499 0.499 0.502
As 0.667 0.667 0.999
Se 0.065 0.065 0.806
Se 0.269 0.269 0.193



Record 3
DFT (GGA-PBE) results for a relaxed KAsSe2 crystal.

Properties
Volume = 25.51 Å³/atom
Space group = C2/m
Formation energy without anion corrections = -0.14 eV/atom
Total magnetic moment = 0.00 μB/f.u.

Cell lengths 6.331, 6.331, 2.895 Å; angles 69.67, 69.67, 83.66 degrees
Element x y z (fractional)
As 0.500 0.000 0.500
K 0.000 0.500 0.500
Se 0.000 0.000 0.000
Se 0.500 0.500 0.000



Record 4
DFT (GGA-PBE) results for a relaxed K2AsSe crystal.

Properties
Volume = 26.94 Å³/atom
Space group = I4/mmm
Formation energy without anion corrections = -0.39 eV/atom
Total magnetic moment = 0.00 μB/f.u.

Cell lengths 5.957, 5.957, 5.957 Å; angles 133.96, 133.96, 67.16 degrees
Element x y z (fractional)
As 0.250 0.750 0.500
K 0.000 0.000 0.000
K 0.500 0.500 0.000
Se 0.750 0.250 0.500



Record 5
DFT (GGA-PBE) results for a relaxed K2AsSe crystal.

Properties
Volume = 32.13 Å³/atom
Space group = Fm-3m
Formation energy without anion corrections = -0.22 eV/atom
Total magnetic moment = 2.78 μB/f.u.

Cell lengths 5.664, 5.664, 5.664 Å; angles 60.00, 60.00, 60.00 degrees
Each line ends with the local moment (μB).
Element x y z (fractional)
As 0.000 0.000 0.000  0.92
K 0.250 0.250 0.250  0.02
K 0.750 0.750 0.750  0.02
Se 0.500 0.500 0.500  0.39



Record 6
DFT (GGA-PBE) results for a relaxed K7AsSe6 crystal.

Properties
Volume = 39.17 Å³/atom
Space group = Ibam
Formation energy without anion corrections = -0.90 eV/atom
Total magnetic moment = 0.00 μB/f.u.

Cell lengths 8.398, 12.206, 12.206 Å; angles 77.77, 69.88, 69.88 degrees
Element x y z (fractional)
K 0.720 0.029 0.971
K 0.280 0.971 0.029
K 0.780 0.529 0.471
K 0.220 0.471 0.529
K 0.473 0.597 0.166
K 0.764 0.166 0.597
K 0.027 0.334 0.903
K 0.736 0.903 0.334
K 0.527 0.403 0.834
K 0.236 0.834 0.403
K 0.973 0.666 0.097
K 0.264 0.097 0.666
K 0.250 0.250 0.250
K 0.750 0.750 0.750
As 0.750 0.250 0.250
As 0.250 0.750 0.750
Se 0.657 0.267 0.084
Se 0.993 0.084 0.267
Se 0.843 0.416 0.233
Se 0.507 0.233 0.416
Se 0.343 0.733 0.916
Se 0.007 0.916 0.733
Se 0.157 0.584 0.767
Se 0.493 0.767 0.584
Se 0.070 0.664 0.336
Se 0.930 0.336 0.664
Se 0.430 0.164 0.836
Se 0.570 0.836 0.164



- Which value of total magnetic moment does entry 2 give?
  0.00 μB/f.u.